No. 1
8
Lattice="4.1504 0.0000 0.0000 0.0000 7.4748 -0.1891 0.0000 2.5985 6.9062" Properties=species:S:1:pos:R:3 comment="GGA-PBE La4PdS2Br, optimized geometry" e_tot_ev_per_atom=-5.941 formation_energy_uncorrected_ev_per_atom=-1.5875 n_ef_per_ev_cell=5.39 pbc="T T T"
Pd 2.0752 3.7374 -0.0946
La 2.0752 3.6482 5.2278
La 4.1504 2.4352 1.6343
La 2.0752 6.4250 1.4893
La 0.0001 7.6381 5.0828
S 2.0752 1.2993 3.4531
S 0.0000 2.5985 6.9062
Br 0.0000 5.0366 3.3586


No. 2
16
Lattice="-7.5066 1.4280 -3.5312 -0.8364 -8.5505 -1.6797 1.4580 2.4444 7.9223" Properties=species:S:1:pos:R:3 comment="GGA-PBE La8PdS3Br4, optimized geometry" e_tot_ev_per_atom=-5.550 formation_energy_uncorrected_ev_per_atom=-1.5695 n_ef_per_ev_cell=13.15 pbc="T T T"
S -3.4425 -2.3391 1.3557
S -4.1715 -3.5613 -2.6054
S 0.3108 -3.0531 3.1213
Pd -0.4182 -4.2753 -0.8399
La -1.4505 -0.8138 2.7545
La -5.8724 -1.2693 -2.9353
La -4.6581 -2.7154 3.9319
La -1.0127 -3.4088 5.6467
La -5.1641 -0.0818 0.9118
La -1.7209 -4.5964 1.7996
La -5.4345 -3.8644 -0.0431
La -2.2269 -1.9628 -1.2205
Br 0.7290 1.2222 3.9611
Br -3.7533 0.7140 -1.7656
Br 0.0000 0.0000 0.0000
Br -3.0243 1.9362 2.1956


No. 3
5
Lattice="-2.8650 -3.5128 2.1773 2.3700 0.7739 4.3672 -3.5411 3.6755 1.2703" Properties=species:S:1:pos:R:3 comment="GGA-PBE LaPdSeBr2, optimized geometry" e_tot_ev_per_atom=-4.218 formation_energy_uncorrected_ev_per_atom=-0.8279 n_ef_per_ev_cell=4.09 pbc="T T T"
Br 1.1850 0.3870 2.1836
Br -1.4325 -1.7564 1.0886
Pd 0.0000 0.0000 0.0000
Se -1.7706 1.8377 0.6352
La -2.0181 0.4683 3.9074


No. 4
5
Lattice="-3.6909 2.7568 -3.5335 0.5693 -4.2521 -3.9121 -4.4748 -2.8522 2.4489" Properties=species:S:1:pos:R:3 comment="GGA-PBE LaPdSeBr2, optimized geometry" e_tot_ev_per_atom=-3.976 formation_energy_uncorrected_ev_per_atom=-0.5857 n_ef_per_ev_cell=6.58 pbc="T T T"
Pd -3.7982 -2.1737 -2.4983
Br -1.8455 1.3784 -1.7667
Br 0.2846 -2.1260 -1.9560
Se -2.2374 -1.4261 1.2245
La 0.0000 0.0000 0.0000